VASP calculation (PBEsol) on a relaxed ReBrCl crystal.

a = 6.6371 Å, b = 6.6371 Å, c = 6.6371 Å
α = 90.00°, β = 90.00°, γ = 90.00°
Space group F-43m (No. 216)
Asymmetric unit:
Re1 0.0000 0.0000 0.0000 (multiplicity 4)
Br1 0.0000 0.0000 0.5000 (multiplicity 4)
Cl1 0.2500 0.2500 0.2500 (multiplicity 4)

Calculated values
Raw formation energy ... 1.8095 eV per atom
Total moment ... 1.67 μB/atom


VASP calculation (PBEsol) on a relaxed Re2BrCl crystal.

a = 6.0033 Å, b = 3.4279 Å, c = 8.6959 Å
α = 90.00°, β = 90.19°, γ = 90.00°
Space group Cm (No. 8)
Asymmetric unit:
Re1 0.0000 0.0000 0.0000 (multiplicity 2)
Re2 0.1608 0.5000 0.1561 (multiplicity 2)
Br1 0.3165 0.0000 0.7779 (multiplicity 2)
Cl1 0.1510 0.5000 0.4143 (multiplicity 2)

Calculated values
Distance to the lowest polymorph of the same formula ... 0.0000 eV per atom
Raw formation energy ... 0.0910 eV per atom
Total moment ... 0.00 μB/atom


VASP calculation (PBEsol) on a relaxed Re2BrCl crystal.

a = 2.9392 Å, b = 2.9392 Å, c = 8.4352 Å
α = 90.00°, β = 90.00°, γ = 90.00°
Space group P4mm (No. 99)
Asymmetric unit:
Re1 0.0000 0.0000 0.0000 (multiplicity 1)
Re2 0.5000 0.5000 0.1920 (multiplicity 1)
Br1 0.0000 0.0000 0.4114 (multiplicity 1)
Cl1 0.5000 0.5000 0.7970 (multiplicity 1)

Calculated values
Distance to the lowest polymorph of the same formula ... 0.1557 eV per atom
Raw formation energy ... 0.2467 eV per atom
Total moment ... 0.00 μB/atom


VASP calculation (PBEsol) on a relaxed ReBr3Cl crystal.

a = 4.9283 Å, b = 4.9283 Å, c = 4.9283 Å
α = 90.00°, β = 90.00°, γ = 90.00°
Space group Pm-3m (No. 221)
Asymmetric unit:
Re1 0.0000 0.0000 0.0000 (multiplicity 1)
Br1 0.0000 0.0000 0.5000 (multiplicity 3)
Cl1 0.5000 0.5000 0.5000 (multiplicity 1)

Calculated values
Raw formation energy ... 0.3368 eV per atom
Total moment ... 0.00 μB/atom